Ce2PrCd2Sn2: optimized geometry, PBE.

Computed properties:
V (Å³ per cell): 189
Raw total energy (eV/atom): -4.089
Space-group type: R-3m (166)
Fermi-level density of states (states/eV/f.u.): 12.44

Cell lengths 4.8022, 4.8022, 9.8736 Å; angles 75.93, 75.93, 60.00 degrees
Last column: magnetic moment on the atom in μB.
Element x y z (fractional)
1 Ce 0.1466 0.1466 0.5603  1.13
2 Ce 0.8534 0.8534 0.4397  1.13
3 Pr 0.0000 0.0000 0.0000  0.03
4 Cd 0.5772 0.5772 0.2683  0.00
5 Cd 0.4228 0.4228 0.7317  0.00
6 Sn 0.7310 0.7310 0.8069  0.01
7 Sn 0.2690 0.2690 0.1931  0.01



CePr2Cd2Sn2: optimized geometry, PBE.

Computed properties:
V (Å³ per cell): 203
Raw total energy (eV/atom): -3.934
Space-group type: R-3m (166)
Fermi-level density of states (states/eV/f.u.): 9.85

Cell lengths 5.0361, 5.0361, 9.6731 Å; angles 74.91, 74.91, 60.00 degrees
Last column: magnetic moment on the atom in μB.
Element x y z (fractional)
1 Ce 0.0000 0.0000 0.0000  0.73
2 Pr 0.1271 0.1271 0.6186  0.02
3 Pr 0.8729 0.8729 0.3814  0.02
4 Cd 0.6077 0.6077 0.1769  0.00
5 Cd 0.3923 0.3923 0.8231  0.00
6 Sn 0.7379 0.7379 0.7863  -0.01
7 Sn 0.2621 0.2621 0.2137  -0.01